[1]
GaHgHAu: relaxed, PBE-GGA.

POSCAR file:
```
GaHgHAu
1.0
3.088 0.000 0.000
-0.002 3.572 0.000
-0.004 -1.785 6.773
Ga Hg H Au
1 1 1 1
direct
0.000 0.000 0.000
0.998 0.662 0.317
0.500 0.342 0.683
0.499 0.843 0.685
```

Results
Its final energy is -2.40 eV/atom. Its symmetry is P1.

[2]
CaNdGd2: relaxed, PBE-GGA.

POSCAR file:
```
CaNdGd2
1.0
1.796 1.037 12.652
-1.796 1.037 12.652
0.000 -2.074 12.652
Ca Nd Gd
1 1 2
direct
0.000 0.000 0.000
0.500 0.500 0.500
0.090 0.090 0.090
0.910 0.910 0.910
```

Results
Its final energy is -8.59 eV/atom. Its symmetry is R-3m. The energy of formation comes out at 0.55 eV/f.u.